Material: SrAl9Co2
Method: DFT, GGA-PBE
State: relaxed

It has space group I4_1/amd (No. 141, origin choice 2), with a = 10.683 Å, b = 10.683 Å, c = 6.883 Å, α = 90.00°, β = 90.00° and γ = 90.00°. The inequivalent atoms are Sr at (0.000, 0.250, 0.375), Al at (0.000, 0.250, 0.875), Al at (0.123, 0.052, 0.693) and Co at (0.000, 0.000, 0.000).

The value obtained for the calculated formation energy is -0.325 eV/atom. The uncorrected energy is -4.46 eV/atom.